## CsLiBe2F6 (PBE-GGA)

Data for a geometry-optimized CsLiBe2F6 structure.

space-group type	No. 15
crystal system	monoclinic
energy	-5.254	eV per atom

a b c (Å): 7.608 7.608 5.409
angles (deg): 100.47 100.47 99.76
Sites, in units of the cell vectors:
Cs: 0.133 0.867 0.250
Cs: 0.867 0.133 0.750
Li: 0.727 0.273 0.250
Li: 0.273 0.727 0.750
Be: 0.364 0.207 0.876
Be: 0.793 0.636 0.624
Be: 0.636 0.793 0.124
Be: 0.207 0.364 0.376
F: 0.994 0.305 0.300
F: 0.695 0.006 0.200
F: 0.006 0.695 0.700
F: 0.305 0.994 0.800
F: 0.273 0.268 0.123
F: 0.732 0.727 0.377
F: 0.727 0.732 0.877
F: 0.268 0.273 0.623
F: 0.279 0.568 0.452
F: 0.432 0.721 0.048
F: 0.721 0.432 0.548
F: 0.568 0.279 0.952

=====

## PrSm2DySc2 (PBE-GGA)

Data for a geometry-optimized PrSm2DySc2 structure.

space-group type	No. 58
crystal system	orthorhombic
energy	-4.974	eV per atom
calculated formation energy	0.27	eV/atom

a b c (Å): 3.362 6.328 17.765
angles (deg): 90.00 90.00 90.00
Sites, in units of the cell vectors:
Pr: 0.000 0.000 0.000
Pr: 0.500 0.500 0.500
Sm: 0.500 0.283 0.307
Sm: 0.000 0.783 0.193
Sm: 0.500 0.717 0.693
Sm: 0.000 0.217 0.807
Dy: 0.500 0.500 0.000
Dy: 0.000 0.000 0.500
Sc: 0.500 0.787 0.356
Sc: 0.500 0.213 0.644
Sc: 0.000 0.713 0.856
Sc: 0.000 0.287 0.144

=====

## Be2VOsS (PBE-GGA)

Data for a geometry-optimized Be2VOsS structure.

space-group type	No. 123
crystal system	tetragonal
energy	-5.052	eV per atom

a b c (Å): 4.053 4.188 4.053
angles (deg): 90.00 90.00 90.00
Sites, in units of the cell vectors:
Be: 0.000 0.000 0.500
Be: 0.500 0.000 0.000
S: 0.000 0.500 0.000
Os: 0.500 0.500 0.500
V: 0.000 0.000 0.000